PBE-GGA PrSm2DyBi4, relaxed; final energy = -5.2055 eV/atom; SG = P2/m (10); density = 8.91 g/cm³
1.0
-0.446 2.966 3.438
-7.791 0.294 -1.264
-3.581 -5.551 4.326
Sm Bi Dy Pr
2 4 1 1
Direct
0.000 0.000 0.000
0.500 0.000 0.500
0.500 0.748 0.255
0.500 0.252 0.745
0.000 0.248 0.255
0.000 0.752 0.745
0.000 0.500 0.500
0.500 0.500 0.000